! KZn2TeO6 (PBE-GGA, optimized geometry); values from VASP
! VASP energy ... -94.07 eV/cell
! SG ... No. 15
! Density of states at the Fermi level ... 0.48 states/eV per cell
&SYSTEM
  ibrav = 0, nat = 20, ntyp = 4
/
ATOMIC_SPECIES
K 39.10 K.upf
Zn 65.41 Zn.upf
Te 127.60 Te.upf
O 16.00 O.upf
CELL_PARAMETERS angstrom
4.748 -6.117 0.000
4.748 6.117 0.000
-3.016 0.000 5.952
ATOMIC_POSITIONS angstrom
K 2.486 4.780 4.464
K 3.994 -4.780 1.488
Zn 1.035 0.869 5.077
Zn 2.543 -0.869 2.101
Zn 3.937 0.869 3.851
Zn 5.445 -0.869 0.875
Te 3.994 3.755 1.488
Te 2.486 -3.755 4.464
O -0.849 1.180 4.215
O 0.901 2.824 5.846
O 0.659 -1.180 1.239
O 1.946 0.590 3.337
O 4.071 2.824 3.083
O 3.454 -0.590 0.361
O 3.026 0.590 5.591
O 2.409 -2.824 2.869
O 4.534 -0.590 2.615
O 5.821 1.180 4.714
O 5.579 -2.824 0.107
O 7.329 -1.180 1.737

---

! KZnTe2O6 (PBE-GGA, optimized geometry); values from VASP
! VASP energy ... -99.87 eV/cell
! SG ... No. 15
! Density of states at the Fermi level ... 3.82 states/eV per cell
&SYSTEM
  ibrav = 0, nat = 20, ntyp = 4
/
ATOMIC_SPECIES
K 39.10 K.upf
Zn 65.41 Zn.upf
Te 127.60 Te.upf
O 16.00 O.upf
CELL_PARAMETERS angstrom
5.074 -5.936 0.000
5.074 5.936 0.000
-3.242 0.000 6.447
ATOMIC_POSITIONS angstrom
K 2.642 4.732 4.836
K 4.263 -4.732 1.612
Zn 4.263 3.431 1.612
Zn 2.642 -3.431 4.836
Te 0.751 1.056 5.333
Te 2.372 -1.056 2.109
Te 4.533 1.056 4.338
Te 6.154 -1.056 1.114
O -0.917 1.248 4.456
O 0.869 2.716 6.248
O 0.704 -1.248 1.232
O 1.909 0.297 3.376
O 4.416 2.716 3.423
O 3.530 -0.297 0.152
O 3.375 0.297 6.296
O 2.489 -2.716 3.024
O 4.996 -0.297 3.072
O 6.202 1.248 5.215
O 6.037 -2.716 0.200
O 7.822 -1.248 1.992

---

! K5ZnTeO2 (PBE-GGA, optimized geometry); values from VASP
! VASP energy ... -29.52 eV/cell
! SG ... No. 123
! Density of states at the Fermi level ... 1.77 states/eV per cell
&SYSTEM
  ibrav = 0, nat = 9, ntyp = 4
/
ATOMIC_SPECIES
K 39.10 K.upf
Zn 65.41 Zn.upf
Te 127.60 Te.upf
O 16.00 O.upf
CELL_PARAMETERS angstrom
5.484 0.000 0.000
0.000 5.484 0.000
0.000 0.000 9.308
ATOMIC_POSITIONS angstrom
K 0.000 0.000 0.000
K 0.000 2.742 2.468
K 0.000 2.742 6.840
K 2.742 0.000 2.468
K 2.742 0.000 6.840
Zn 0.000 0.000 4.654
Te 2.742 2.742 0.000
O 0.000 0.000 2.838
O 0.000 0.000 6.471

---

! K2ZnTeO4 (PBE-GGA, optimized geometry); values from VASP
! VASP energy ... -36.73 eV/cell
! SG ... No. 82
! Density of states at the Fermi level ... 0.00 states/eV per cell
&SYSTEM
  ibrav = 0, nat = 8, ntyp = 4
/
ATOMIC_SPECIES
K 39.10 K.upf
Zn 65.41 Zn.upf
Te 127.60 Te.upf
O 16.00 O.upf
CELL_PARAMETERS angstrom
-3.006 3.006 4.071
3.006 -3.006 4.071
3.006 3.006 -4.071
ATOMIC_POSITIONS angstrom
K 0.000 0.000 0.000
K 0.000 3.006 2.036
Zn 3.006 0.000 2.036
Te 0.000 0.000 4.071
O 1.530 -0.916 3.052
O 2.089 1.476 1.019
O 1.476 3.922 -1.019
O 0.916 1.530 5.091

---

! KZrTeO5 (PBE-GGA, optimized geometry); values from VASP
! VASP energy ... -105.76 eV/cell
! SG ... No. 15
! Density of states at the Fermi level ... 3.91 states/eV per cell
&SYSTEM
  ibrav = 0, nat = 16, ntyp = 4
/
ATOMIC_SPECIES
K 39.10 K.upf
Zr 91.22 Zr.upf
Te 127.60 Te.upf
O 16.00 O.upf
CELL_PARAMETERS angstrom
3.822 -4.889 0.000
3.822 4.889 0.000
-3.671 0.000 7.251
ATOMIC_POSITIONS angstrom
K 1.068 3.145 5.438
K 2.904 -3.145 1.813
Zr 3.822 0.000 0.000
Zr 1.986 0.000 3.626
Te 2.904 2.944 1.813
Te 1.068 -2.944 5.438
O -1.793 0.690 6.505
O 1.597 2.053 3.017
O 0.042 -0.690 2.879
O 4.210 2.053 0.608
O 1.068 0.352 5.438
O 2.904 -0.352 1.813
O -0.238 -2.053 6.643
O 3.930 0.690 4.372
O 2.375 -2.053 4.234
O 5.765 -0.690 0.746

---

! KZrTeO6 (PBE-GGA, optimized geometry); values from VASP
! VASP energy ... -116.62 eV/cell
! SG ... No. 163
! Density of states at the Fermi level ... 9.57 states/eV per cell
&SYSTEM
  ibrav = 0, nat = 18, ntyp = 4
/
ATOMIC_SPECIES
K 39.10 K.upf
Zr 91.22 Zr.upf
Te 127.60 Te.upf
O 16.00 O.upf
CELL_PARAMETERS angstrom
5.573 0.000 0.000
-2.786 4.826 0.000
0.000 0.000 11.596
ATOMIC_POSITIONS angstrom
K 0.000 0.000 0.000
K 0.000 0.000 5.798
Zr 0.000 3.217 2.899
Zr 2.786 1.609 8.697
Te 0.000 3.217 8.697
Te 2.786 1.609 2.899
O -0.995 1.950 7.597
O -1.595 2.990 9.797
O 0.995 1.950 9.797
O -0.600 4.713 7.597
O 2.186 0.113 1.799
O 1.191 1.837 3.999
O 1.595 2.990 7.597
O 0.600 4.713 9.797
O 3.387 0.113 3.999
O 1.791 2.876 1.799
O 4.382 1.837 1.799
O 3.781 2.876 3.999

---

! KZrTe2O8 (PBE-GGA, optimized geometry); values from VASP
! VASP energy ... -73.58 eV/cell
! SG ... No. 147
! Density of states at the Fermi level ... 4.71 states/eV per cell
&SYSTEM
  ibrav = 0, nat = 12, ntyp = 4
/
ATOMIC_SPECIES
K 39.10 K.upf
Zr 91.22 Zr.upf
Te 127.60 Te.upf
O 16.00 O.upf
CELL_PARAMETERS angstrom
5.933 0.000 0.000
-2.967 5.138 0.000
0.000 0.000 7.607
ATOMIC_POSITIONS angstrom
K 0.000 0.000 0.000
Zr 0.000 0.000 3.804
Te 0.000 3.426 5.706
Te 2.967 1.713 1.902
O -0.270 1.642 5.092
O -1.410 4.552 5.092
O 1.287 1.055 2.515
O 0.000 3.426 7.531
O 2.967 1.713 0.076
O 1.680 4.083 5.092
O 4.376 0.587 2.515
O 3.237 3.497 2.515

---

! KThO3 (PBE-GGA, optimized geometry); values from VASP
! VASP energy ... -36.35 eV/cell
! SG ... No. 221
! Density of states at the Fermi level ... 3.54 states/eV per cell
&SYSTEM
  ibrav = 0, nat = 5, ntyp = 3
/
ATOMIC_SPECIES
K 39.10 K.upf
Th 232.04 Th.upf
O 16.00 O.upf
CELL_PARAMETERS angstrom
4.508 0.000 0.000
0.000 4.508 0.000
0.000 0.000 4.508
ATOMIC_POSITIONS angstrom
K 0.000 0.000 0.000
Th 2.254 2.254 2.254
O 0.000 2.254 2.254
O 2.254 0.000 2.254
O 2.254 2.254 0.000

---

! K14Th2O9 (PBE-GGA, optimized geometry); values from VASP
! VASP energy ... -111.29 eV/cell
! SG ... No. 147
! Density of states at the Fermi level ... 2.24 states/eV per cell
&SYSTEM
  ibrav = 0, nat = 25, ntyp = 3
/
ATOMIC_SPECIES
K 39.10 K.upf
Th 232.04 Th.upf
O 16.00 O.upf
CELL_PARAMETERS angstrom
8.094 0.000 0.000
-4.047 7.009 0.000
0.000 0.000 11.495
ATOMIC_POSITIONS angstrom
K 0.000 0.000 2.681
K 0.000 0.000 8.814
K -2.247 4.867 10.573
K -0.300 2.586 6.809
K -1.658 5.976 6.809
K 0.955 2.630 10.573
K 2.089 1.553 4.686
K 2.755 0.487 0.923
K 1.292 6.522 10.573
K 1.957 5.457 6.809
K 3.091 4.380 0.923
K 5.705 1.033 4.686
K 4.347 4.424 4.686
K 6.294 2.142 0.923
Th 0.000 4.673 3.185
Th 4.047 2.336 8.310
O 0.000 0.000 0.000
O -0.272 2.598 3.968
O -1.662 5.946 3.968
O 0.000 4.673 0.934
O 2.114 1.534 7.528
O 1.933 5.475 3.968
O 4.047 2.336 10.561
O 5.708 1.064 7.528
O 4.318 4.412 7.528

---

! K3ThO4 (PBE-GGA, optimized geometry); values from VASP
! VASP energy ... -95.37 eV/cell
! SG ... No. 13
! Density of states at the Fermi level ... 10.74 states/eV per cell
&SYSTEM
  ibrav = 0, nat = 16, ntyp = 3
/
ATOMIC_SPECIES
K 39.10 K.upf
Th 232.04 Th.upf
O 16.00 O.upf
CELL_PARAMETERS angstrom
6.821 0.000 0.000
0.000 7.609 0.000
-2.313 0.000 6.085
ATOMIC_POSITIONS angstrom
K -0.578 0.904 1.521
K -1.735 6.705 4.564
K 1.676 0.910 4.564
K 2.832 2.877 1.521
K 1.676 4.732 4.564
K 2.832 6.699 1.521
Th -1.735 2.870 4.564
Th -0.578 4.739 1.521
O 0.116 3.110 3.034
O -1.041 4.499 6.077
O -0.665 1.328 5.745
O 0.491 6.281 2.702
O 4.016 1.328 3.383
O 5.173 6.281 0.341
O 5.549 3.110 0.009
O 4.392 4.499 3.051

---

! K2ThO3 (PBE-GGA, optimized geometry); values from VASP
! VASP energy ... -160.53 eV/cell
! SG ... No. 15
! Density of states at the Fermi level ... 0.00 states/eV per cell
&SYSTEM
  ibrav = 0, nat = 24, ntyp = 3
/
ATOMIC_SPECIES
K 39.10 K.upf
Th 232.04 Th.upf
O 16.00 O.upf
CELL_PARAMETERS angstrom
3.224 -5.595 0.000
3.224 5.595 0.000
-2.223 0.000 12.698
ATOMIC_POSITIONS angstrom
K 0.500 2.797 6.349
K 1.556 4.637 9.523
K -0.692 0.884 12.692
K 0.420 -0.884 6.343
K 1.612 -2.797 0.000
K 3.804 0.884 6.354
K 4.915 -0.884 0.006
K 2.668 -4.637 3.174
Th 2.668 2.815 3.174
Th 1.556 0.908 9.523
Th 2.668 -0.908 3.174
Th 1.556 -2.815 9.523
O -0.428 1.199 8.272
O 0.310 2.477 10.761
O 0.683 -1.199 1.924
O 1.932 0.954 4.416
O 2.802 2.477 8.285
O 3.403 0.954 1.933
O 0.821 -0.954 10.765
O 1.422 -2.477 4.412
O 2.291 -0.954 8.282
O 3.540 1.199 10.774
O 3.913 -2.477 1.937
O 4.652 -1.199 4.425

---

! KThTi2O6 (PBE-GGA, optimized geometry); values from VASP
! VASP energy ... -84.39 eV/cell
! SG ... No. 123
! Density of states at the Fermi level ... 3.53 states/eV per cell
&SYSTEM
  ibrav = 0, nat = 10, ntyp = 4
/
ATOMIC_SPECIES
K 39.10 K.upf
Th 232.04 Th.upf
Ti 47.87 Ti.upf
O 16.00 O.upf
CELL_PARAMETERS angstrom
3.961 0.000 0.000
0.000 3.961 0.000
0.000 0.000 7.824
ATOMIC_POSITIONS angstrom
K 0.000 0.000 0.000
Th 0.000 0.000 3.912
Ti 1.981 1.981 1.930
Ti 1.981 1.981 5.894
O 0.000 1.981 2.238
O 0.000 1.981 5.587
O 1.981 0.000 2.238
O 1.981 0.000 5.587
O 1.981 1.981 0.000
O 1.981 1.981 3.912

---

! K2ThTiO6 (PBE-GGA, optimized geometry); values from VASP
! VASP energy ... -71.25 eV/cell
! SG ... No. 12
! Density of states at the Fermi level ... 5.03 states/eV per cell
&SYSTEM
  ibrav = 0, nat = 10, ntyp = 4
/
ATOMIC_SPECIES
K 39.10 K.upf
Th 232.04 Th.upf
Ti 47.87 Ti.upf
O 16.00 O.upf
CELL_PARAMETERS angstrom
5.227 -3.022 0.000
5.227 3.022 0.000
-3.481 0.000 4.929
ATOMIC_POSITIONS angstrom
K 1.746 0.000 1.232
K 5.227 0.000 3.697
Th -1.741 0.000 2.464
Ti 5.227 0.000 0.000
O 0.133 0.000 3.789
O 4.421 1.396 1.142
O 2.553 1.396 3.787
O 4.421 -1.396 1.142
O 2.553 -1.396 3.787
O 6.840 0.000 1.140

---

! KTh2UO8 (PBE-GGA, optimized geometry); values from VASP
! VASP energy ... -103.89 eV/cell
! SG ... No. 10
&SYSTEM
  ibrav = 0, nat = 12, ntyp = 4
/
ATOMIC_SPECIES
K 39.10 K.upf
Th 232.04 Th.upf
U 238.03 U.upf
O 16.00 O.upf
CELL_PARAMETERS angstrom
4.045 0.000 0.000
0.000 7.997 0.000
-0.008 0.000 5.497
ATOMIC_POSITIONS angstrom
K 0.000 0.000 0.000
Th 2.018 2.084 2.748
Th 2.018 5.913 2.748
U 0.000 3.999 0.000
O 4.041 2.376 1.363
O -0.005 2.376 4.134
O 4.041 5.621 1.363
O -0.005 5.621 4.134
O 2.013 0.000 3.826
O 2.018 3.999 1.269
O 2.023 0.000 1.671
O 2.019 3.999 4.228

---

| no. | ΔE_f (raw) (eV/atom) | magnetic moment (μB per formula unit) |
| --- | --- | --- |
| 1 | -1.050 | 1.00 |
| 2 | -1.153 | 0.00 |
| 3 | -1.078 | 0.62 |
| 4 | -1.286 | 0.00 |
| 5 | -1.913 | 0.87 |
| 6 | -1.752 | 1.07 |
| 7 | -1.499 | 0.00 |
| 8 | -2.592 | 0.00 |
| 9 | -1.458 | 0.00 |
| 10 | -2.143 | 1.03 |
| 11 | -2.607 | 0.00 |
| 12 | -3.034 | 0.00 |
| 13 | -2.399 | 2.07 |
| 14 | -3.083 | 0.96 |